GeTePd2 | PBE | optimized geometry

Calculated values
The space group is No. 156. The value obtained for the distance to the lowest polymorph of the same formula is 0 meV per atom. For the total moment, the calculation gives 0.000 μB per cell. The formation energy (no corrections) is -1.2 eV/f.u.

Unit cell a=4.182 b=4.182 c=5.701 alpha=89.99 beta=89.99 gamma=60.00
Fractional coordinates of all 4 atoms:
Ge1 0.199 0.199 0.310
Te1 0.532 0.532 0.745
Pd1 0.532 0.532 0.207
Pd2 0.865 0.865 0.510